Entry 1:
VASP calculation (PBE) on an optimized crystal structure of NpTl2AuS4.

Unit cell a=7.4287 b=7.4287 c=7.6597 alpha=90.00 beta=90.00 gamma=90.00
Fractional positions:
Np 0.0000 0.0000 0.0000
Np 0.5000 0.5000 0.5000
Tl 0.0000 0.0000 0.5000
Tl 0.0000 0.5000 0.2500
Tl 0.5000 0.0000 0.7500
Tl 0.5000 0.5000 0.0000
Au 0.0000 0.5000 0.7500
Au 0.5000 0.0000 0.2500
S 0.1888 0.7596 0.8249
S 0.2404 0.1888 0.1751
S 0.2596 0.3112 0.6751
S 0.3112 0.7404 0.3249
S 0.6888 0.2596 0.3249
S 0.7404 0.6888 0.6751
S 0.7596 0.8112 0.1751
S 0.8112 0.2404 0.8249

## Properties
Total energy   -81.325 eV per cell
Volume   422.7 Å³/cell
Formation energy without anion corrections   -400 meV per atom
Symmetry   I-4 (82)

=====

Entry 2:
VASP calculation (PBE) on an optimized crystal structure of Np3Tl4AuS8.

Unit cell a=8.0274 b=8.0274 c=8.8411 alpha=117.10 beta=117.10 gamma=58.89
Fractional positions:
Np 0.0000 0.0000 0.0000
Np 0.0000 0.5000 0.0000
Np 0.5000 0.0000 0.0000
Tl 0.0000 0.0000 0.5000
Tl 0.0000 0.5000 0.5000
Tl 0.5000 0.0000 0.5000
Tl 0.5000 0.5000 0.5000
Au 0.5000 0.5000 0.0000
S 0.2258 0.7314 0.1938
S 0.2304 0.2304 0.1957
S 0.2529 0.2529 0.7955
S 0.2686 0.7742 0.8062
S 0.7314 0.2258 0.1938
S 0.7471 0.7471 0.2045
S 0.7696 0.7696 0.8043
S 0.7742 0.2686 0.8062

## Properties
Total energy   -97.509 eV per cell
Volume   415.7 Å³/cell
Formation energy without anion corrections   -808 meV per atom
Symmetry   C2/m (12)

=====

Entry 3:
VASP calculation (PBE) on an optimized crystal structure of NpSb2Au.

Unit cell a=4.5523 b=4.5523 c=25.1010 alpha=90.00 beta=90.00 gamma=120.00
Fractional positions:
Np 0.0000 0.0000 0.0000
Np 0.3333 0.6667 0.6667
Np 0.6667 0.3333 0.3333
Sb 0.0000 0.0000 0.3966
Sb 0.0000 0.0000 0.6034
Sb 0.3333 0.6667 0.0632
Sb 0.3333 0.6667 0.2701
Sb 0.6667 0.3333 0.7299
Sb 0.6667 0.3333 0.9368
Au 0.0000 0.0000 0.5000
Au 0.3333 0.6667 0.1667
Au 0.6667 0.3333 0.8333

## Properties
Total energy   -69.424 eV per cell
Volume   450.5 Å³/cell
Formation energy without anion corrections   330 meV per atom
Symmetry   R-3m (166)

=====

Entry 4:
VASP calculation (PBE) on an optimized crystal structure of NpSb2Au.

Unit cell a=4.7520 b=4.7520 c=4.1580 alpha=90.00 beta=90.00 gamma=90.00
Fractional positions:
Np 0.0000 0.0000 0.0000
Sb 0.0000 0.5000 0.5000
Sb 0.5000 0.0000 0.5000
Au 0.5000 0.5000 0.0000

## Properties
Total energy   -25.417 eV per cell
Volume   93.9 Å³/cell
Formation energy without anion corrections   -239 meV per atom
Symmetry   P4/mmm (123)